Compound: Na2InF6
Source: the Alexandria database
Functional: PBE-GGA
Structure: relaxed

DFT total energy (eV per formula unit): -37.12
Raw formation energy (meV/atom): -2279

```
Na2InF6
1.0
5.9965 0.0000 -0.2084
0.0000 5.9266 0.0000
-1.0335 0.0000 8.0947
Na In F
4 2 12
Direct
0.9600 0.4408 0.7787 Na
0.5400 0.9408 0.7213 Na
0.4600 0.0592 0.2787 Na
0.0400 0.5592 0.2213 Na
0.5000 0.5000 0.0000 In
0.0000 0.0000 0.5000 In
0.8081 0.8486 0.2924 F
0.8397 0.7540 0.6282 F
0.7802 0.6949 0.9619 F
0.7198 0.1949 0.5381 F
0.6603 0.2540 0.8718 F
0.6919 0.3486 0.2076 F
0.1919 0.1514 0.7076 F
0.1603 0.2460 0.3718 F
0.2198 0.3051 0.0381 F
0.2802 0.8051 0.4619 F
0.3397 0.7460 0.1282 F
0.3081 0.6514 0.7924 F
```

---

Compound: NaInF2
Source: the Alexandria database
Functional: PBE-GGA
Structure: relaxed

DFT total energy (eV per formula unit): -16.25
Raw formation energy (meV/atom): -2113
Energy relative to the lowest polymorph listed for this composition (eV/atom): 0.028

```
NaInF2
1.0
-0.1650 -2.7642 1.9625
2.5889 -2.1938 0.0625
3.5008 1.6646 5.5739
Na In F
1 1 2
Direct
0.6676 0.6676 0.9973 Na
0.4991 0.4991 0.5027 In
0.0680 0.0680 0.7961 F
0.2653 0.2653 0.2040 F
```